Entry from Alexandria via LeMat-Bulk: an optimized crystal structure of Mg2WS (GGA-PBE).

a = 4.717 Å, b = 4.717 Å, c = 4.717 Å
α = 60.00°, β = 60.00°, γ = 60.00°
Fractional coordinates of all 4 atoms:
Mg (0.250, 0.250, 0.250)
Mg (0.750, 0.750, 0.750)
W (0.000, 0.000, 0.000)
S (0.500, 0.500, 0.500)

Properties
Calculated volume, Å³/cell: 74
E_tot, eV/atom: -4.184


Entry from Alexandria via LeMat-Bulk: an optimized crystal structure of Tb2Be4CuIr3 (GGA-PBE).

a = 3.911 Å, b = 3.911 Å, c = 9.620 Å
α = 90.00°, β = 90.00°, γ = 90.00°
Fractional coordinates of all 10 atoms:
Tb (0.000, 0.500, 0.247)
Tb (0.500, 0.000, 0.753)
Be (0.000, 0.000, 0.000)
Be (0.000, 0.500, 0.627)
Be (0.500, 0.000, 0.373)
Be (0.500, 0.500, 0.000)
Cu (0.000, 0.000, 0.500)
Ir (0.000, 0.500, 0.872)
Ir (0.500, 0.000, 0.128)
Ir (0.500, 0.500, 0.500)

Properties
Calculated volume, Å³/cell: 147
E_tot, eV/atom: -6.047


Entry from Alexandria via LeMat-Bulk: an optimized crystal structure of BeNi3B (GGA-PBE).

a = 4.745 Å, b = 4.745 Å, c = 4.745 Å
α = 73.16°, β = 73.16°, γ = 73.16°
Fractional coordinates of all 10 atoms:
Be (0.000, 0.000, 0.000)
Be (0.500, 0.500, 0.500)
Ni (0.031, 0.363, 0.581)
Ni (0.081, 0.863, 0.531)
Ni (0.363, 0.581, 0.031)
Ni (0.531, 0.081, 0.863)
Ni (0.581, 0.031, 0.363)
Ni (0.863, 0.531, 0.081)
B (0.203, 0.203, 0.203)
B (0.703, 0.703, 0.703)

Properties
Calculated volume, Å³/cell: 95
E_tot, eV/atom: -5.751


Entry from Alexandria via LeMat-Bulk: an optimized crystal structure of AgBPS2 (GGA-PBE).

a = 4.509 Å, b = 4.509 Å, c = 3.863 Å
α = 90.00°, β = 90.00°, γ = 90.00°
Fractional coordinates of all 5 atoms:
Ag (0.000, 0.000, 0.000)
B (0.500, 0.500, 0.500)
P (0.500, 0.500, 0.000)
S (0.000, 0.500, 0.500)
S (0.500, 0.000, 0.500)

Properties
Calculated volume, Å³/cell: 79
E_tot, eV/atom: -3.851


Entry from Alexandria via LeMat-Bulk: an optimized crystal structure of LaNd8Pb2 (GGA-PBE).

a = 9.068 Å, b = 9.068 Å, c = 6.590 Å
α = 95.25°, β = 95.25°, γ = 44.85°
Fractional coordinates of all 11 atoms:
La (0.000, 0.000, 0.000)
Nd (0.160, 0.644, 0.592)
Nd (0.214, 0.214, 0.826)
Nd (0.356, 0.840, 0.408)
Nd (0.416, 0.416, 0.097)
Nd (0.584, 0.584, 0.903)
Nd (0.644, 0.160, 0.592)
Nd (0.786, 0.786, 0.174)
Nd (0.840, 0.356, 0.408)
Pb (0.254, 0.254, 0.321)
Pb (0.746, 0.746, 0.679)

Properties
Calculated volume, Å³/cell: 380
E_tot, eV/atom: -4.701


Entry from Alexandria via LeMat-Bulk: an optimized crystal structure of VGaNiRu (GGA-PBE).

a = 4.436 Å, b = 4.436 Å, c = 4.436 Å
α = 128.35°, β = 128.35°, γ = 76.06°
Fractional coordinates of all 4 atoms:
V (0.000, 0.000, 0.000)
Ga (0.500, 0.500, 0.000)
Ni (0.750, 0.250, 0.500)
Ru (0.250, 0.750, 0.500)

Properties
Calculated volume, Å³/cell: 52
E_tot, eV/atom: -7.137


Entry from Alexandria via LeMat-Bulk: an optimized crystal structure of PrCu3Si (GGA-PBE).

a = 5.695 Å, b = 5.695 Å, c = 5.804 Å
α = 90.00°, β = 90.00°, γ = 114.73°
Fractional coordinates of all 10 atoms:
Pr (0.232, 0.768, 0.750)
Pr (0.768, 0.232, 0.250)
Cu (0.108, 0.892, 0.250)
Cu (0.289, 0.289, 0.000)
Cu (0.289, 0.289, 0.500)
Cu (0.711, 0.711, 0.000)
Cu (0.711, 0.711, 0.500)
Cu (0.892, 0.108, 0.750)
Si (0.353, 0.647, 0.250)
Si (0.647, 0.353, 0.750)

Properties
Calculated volume, Å³/cell: 171
E_tot, eV/atom: -4.840


Entry from Alexandria via LeMat-Bulk: an optimized crystal structure of Na2PmGaGe2 (GGA-PBE).

a = 4.312 Å, b = 8.830 Å, c = 7.434 Å
α = 90.00°, β = 90.00°, γ = 90.00°
Fractional coordinates of all 12 atoms:
Na (0.000, 0.082, 0.000)
Na (0.000, 0.918, 0.500)
Na (0.500, 0.158, 0.321)
Na (0.500, 0.842, 0.821)
Pm (0.500, 0.444, 0.964)
Pm (0.500, 0.556, 0.464)
Ga (0.000, 0.323, 0.625)
Ga (0.000, 0.677, 0.125)
Ge (0.000, 0.385, 0.251)
Ge (0.000, 0.615, 0.751)
Ge (0.500, 0.176, 0.714)
Ge (0.500, 0.824, 0.214)

Properties
Calculated volume, Å³/cell: 283
E_tot, eV/atom: -3.677


Entry from Alexandria via LeMat-Bulk: an optimized crystal structure of MgSe2N (GGA-PBE).

a = 7.091 Å, b = 7.091 Å, c = 7.091 Å
α = 135.93°, β = 135.93°, γ = 64.09°
Fractional coordinates of all 8 atoms:
Mg (0.000, 0.000, 0.000)
Mg (0.750, 0.250, 0.500)
Se (0.204, 0.625, 0.079)
Se (0.375, 0.454, 0.579)
Se (0.546, 0.125, 0.921)
Se (0.875, 0.796, 0.421)
N (0.250, 0.750, 0.500)
N (0.500, 0.500, 0.000)

Properties
Calculated volume, Å³/cell: 170
E_tot, eV/atom: -3.823


Entry from Alexandria via LeMat-Bulk: an optimized crystal structure of Re2PtRh (GGA-PBE).

a = 3.283 Å, b = 3.283 Å, c = 5.604 Å
α = 90.00°, β = 90.00°, γ = 90.00°
Fractional coordinates of all 4 atoms:
Re (0.000, 0.000, 0.000)
Re (0.500, 0.500, 0.247)
Pt (0.500, 0.500, 0.740)
Rh (0.000, 0.000, 0.494)

Properties
Calculated volume, Å³/cell: 60
E_tot, eV/atom: -9.408


Entry from Alexandria via LeMat-Bulk: an optimized crystal structure of SrHf2Rh2 (GGA-PBE).

a = 8.176 Å, b = 8.176 Å, c = 3.060 Å
α = 90.00°, β = 90.00°, γ = 90.00°
Fractional coordinates of all 10 atoms:
Sr (0.000, 0.000, 0.000)
Sr (0.500, 0.500, 0.000)
Hf (0.138, 0.362, 0.000)
Hf (0.362, 0.862, 0.000)
Hf (0.638, 0.138, 0.000)
Hf (0.862, 0.638, 0.000)
Rh (0.150, 0.650, 0.500)
Rh (0.350, 0.150, 0.500)
Rh (0.650, 0.850, 0.500)
Rh (0.850, 0.350, 0.500)

Properties
Calculated volume, Å³/cell: 205
E_tot, eV/atom: -7.684


Entry from Alexandria via LeMat-Bulk: an optimized crystal structure of La4Si3Ir (GGA-PBE).

a = 4.068 Å, b = 4.474 Å, c = 11.159 Å
α = 90.00°, β = 90.00°, γ = 90.00°
Fractional coordinates of all 8 atoms:
La (0.000, 0.000, 0.000)
La (0.000, 0.500, 0.491)
La (0.500, 0.000, 0.275)
La (0.500, 0.500, 0.782)
Si (0.000, 0.000, 0.701)
Si (0.000, 0.500, 0.197)
Si (0.500, 0.000, 0.569)
Ir (0.500, 0.500, 0.068)

Properties
Calculated volume, Å³/cell: 203
E_tot, eV/atom: -6.343


Q: Among the records above, which one has the lowest E_tot?
A: Re2PtRh